No. 1
Material: Mg2MnTe
Method: DFT, GGA-PBEsol
State: relaxed

```
Mg2MnTe
1.0
-1.576 0.685 -3.283
-3.346 -0.571 1.487
-0.365 5.681 1.360
Mn Mg Te
1 2 1
Direct
0.000 0.000 0.499
0.000 0.000 0.001
0.500 0.500 0.264
0.500 0.500 0.735
```

## Properties
Magnetic moment = 0.84 μB/atom
Final energy = -16.47 eV per formula unit
Crystal system = tetragonal
ΔE_f (raw) = 0.063 eV per atom
Mass density = 4.78 g/cm³



No. 2
Material: Mg3MnTe4
Method: DFT, GGA-PBEsol
State: relaxed

```
Mg3MnTe4
1.0
-2.045 -0.233 4.027
-3.445 -2.248 -1.880
5.918 -11.048 2.367
Te Mg Mn
4 3 1
Direct
0.000 0.500 0.884
0.500 0.000 0.628
0.500 0.000 0.116
0.000 0.500 0.372
0.000 0.000 0.755
0.500 0.500 0.500
0.000 0.000 0.245
0.500 0.500 0.000
```

## Properties
Magnetic moment = 0.62 μB/atom
Final energy = -33.63 eV per formula unit
Crystal system = tetragonal
ΔE_f (raw) = -0.577 eV per atom
Mass density = 4.06 g/cm³



No. 3
Material: MgMn3Te4
Method: DFT, GGA-PBEsol
State: relaxed

```
MgMn3Te4
1.0
4.466 0.000 0.000
0.000 4.466 0.000
0.000 0.000 12.568
Mn Te Mg
3 4 1
Direct
0.000 0.000 0.500
0.500 0.500 0.746
0.500 0.500 0.254
0.000 0.500 0.133
0.500 0.000 0.867
0.500 0.000 0.377
0.000 0.500 0.623
0.000 0.000 0.000
```

## Properties
Magnetic moment = 1.87 μB/atom
Final energy = -45.67 eV per formula unit
Crystal system = tetragonal
ΔE_f (raw) = -0.071 eV per atom
Mass density = 4.63 g/cm³



Which of these has the lowest mass density?
Mg3MnTe4